VASP calculation (GGA-PBE) on a relaxed Ag6Br8Cl crystal.

```
Ag6Br8Cl
1.0
-3.8806 -3.3717 -5.9669
-1.2059 -6.5777 4.5011
-12.6507 5.7327 4.9880
Ag Br Cl
12 16 2
Cartesian
-2.8978 -2.3599 -1.1434
-9.9357 -0.5168 0.7195
-6.4489 1.7597 0.8438
-6.2619 -1.5758 -3.9805
-10.3940 0.4312 5.0636
-7.5451 -0.2569 4.8213
-9.2645 3.4318 2.5329
-15.4989 -0.5063 2.3259
-10.4505 -3.3249 2.6410
-6.2632 -5.0877 -1.8946
-3.5889 -6.1295 1.4361
-4.3250 -3.0563 -5.6251
-6.8655 -0.3858 2.1817
-8.1282 0.9149 -0.8408
-5.4895 -2.5421 -1.4840
-6.0770 -5.7466 0.7089
-12.2133 -0.9189 -1.1063
-9.2066 -3.0072 0.3570
-11.4528 -2.1261 4.7445
-7.3054 -2.7855 3.8238
-14.7489 0.7597 4.3769
-10.8344 1.2470 2.4362
-2.6418 -1.0417 1.4794
-15.0410 1.6205 0.9717
-13.3374 4.5308 3.0477
-3.2280 -4.2391 3.6674
-15.8069 -2.5575 3.8307
-12.8330 -4.2993 1.2068
-12.2818 1.6580 6.3506
-8.7115 -0.8371 -3.5573
```

Total magnetic moment   0.00 μB per formula unit
Raw total energy   -72.09 eV for the cell shown
ΔE_f (raw)   -0.25 eV per atom

---

VASP calculation (GGA-PBE) on a relaxed Ag3BrCl crystal.

```
Ag3BrCl
1.0
-3.9698 -1.7627 2.7349
0.0935 -4.3744 -2.6837
3.2524 -2.0258 3.4153
Ag Br Cl
3 1 1
Cartesian
1.6262 -1.0129 1.7076
0.0467 -2.1872 -1.3418
-1.9849 -0.8813 1.3675
-0.3119 -4.0814 1.7333
0.0000 0.0000 0.0000
```

Total magnetic moment   0.00 μB per formula unit
Raw total energy   -11.00 eV for the cell shown
ΔE_f (raw)   0.21 eV per atom

---

VASP calculation (GGA-PBE) on a relaxed Ag3Br3Cl crystal.

```
Ag3Br3Cl
1.0
5.4635 0.0000 0.0000
0.0000 8.4926 -0.0931
0.0000 1.4914 8.3604
Ag Br Cl
6 6 2
Cartesian
4.0976 3.7744 1.4115
4.0976 7.5801 1.0064
1.3659 2.4038 7.2608
1.3659 2.0947 3.4482
1.3659 6.2096 6.8558
4.0976 7.8893 4.8190
4.0976 2.2406 7.4578
4.0976 6.5224 7.2363
1.3659 7.7434 0.8094
1.3659 8.3250 5.0572
1.3659 3.4616 1.0309
4.0976 1.6590 3.2100
1.3659 3.9624 5.3800
4.0976 6.0216 2.8872
```

Total magnetic moment   0.00 μB per formula unit
Raw total energy   -35.22 eV for the cell shown
ΔE_f (raw)   -0.31 eV per atom

---

VASP calculation (GGA-PBE) on a relaxed Ag3BrCl5 crystal.

```
Ag3BrCl5
1.0
7.6558 0.5832 -0.1197
2.6567 7.2037 -0.1197
2.9298 2.2122 8.4423
Ag Cl Br
6 10 2
Cartesian
5.4757 4.1346 5.5570
1.4649 1.1061 4.2212
3.9342 2.9706 1.3434
7.7666 5.8645 2.6458
0.0000 0.0000 0.0000
9.3082 7.0285 6.8594
7.8074 5.8953 0.2006
9.2718 3.9056 2.6216
3.9705 6.0936 5.5813
6.1870 2.5284 -0.1197
5.4349 4.1039 8.0023
4.1255 5.2585 -0.1197
6.9478 2.1507 5.5813
7.8302 5.9125 5.1120
6.2946 7.8485 2.6216
5.4122 4.0867 3.0909
3.0942 2.3364 5.8971
10.1482 7.6628 2.3057
```

Total magnetic moment   0.00 μB per formula unit
Raw total energy   -44.20 eV for the cell shown
ΔE_f (raw)   -0.29 eV per atom

---

VASP calculation (GGA-PBE) on a relaxed Ag5BrCl4 crystal.

```
Ag5BrCl4
1.0
-1.1594 2.2539 -3.5142
-2.8700 -0.6985 3.1701
10.0738 29.5544 15.6320
Cl Ag Br
8 10 2
Cartesian
0.2883 7.1898 1.8451
4.7614 21.0018 11.8992
4.3418 19.0821 8.1353
6.3202 24.8861 11.2051
8.2936 30.6758 14.2674
2.7817 15.1937 8.8272
2.3630 13.2767 5.0646
6.7373 26.7984 14.9652
5.5580 22.6500 10.0224
-0.0452 6.9003 4.4406
4.0003 18.7688 10.7181
2.0234 12.9689 7.6505
-0.4667 4.9750 0.6737
-2.1215 0.8088 1.2187
7.5307 28.4376 13.0836
5.9745 24.5608 13.7817
3.5824 16.8540 6.9567
1.6091 11.0648 3.8947
0.7411 9.2069 5.6606
-1.3311 3.1275 2.4451
```

Total magnetic moment   0.00 μB per formula unit
Raw total energy   -55.04 eV for the cell shown
ΔE_f (raw)   -0.42 eV per atom

---

VASP calculation (GGA-PBE) on a relaxed Ag2Br3Cl crystal.

```
Ag2Br3Cl
1.0
5.6015 0.0000 0.0000
0.0000 8.0254 0.0000
0.0000 -4.0127 6.9502
Br Cl Ag
6 2 4
Cartesian
4.0715 2.0275 1.1706
1.5300 0.0000 2.3412
4.0715 4.0127 4.6090
4.0715 5.9978 1.1706
1.5300 -1.9851 5.7796
1.5300 1.9851 5.7796
1.3408 4.0127 2.3167
4.2607 0.0000 4.6334
0.0000 -2.0063 3.4751
0.0000 4.0127 0.0000
0.0000 2.0063 3.4751
0.0000 0.0000 0.0000
```

Total magnetic moment   0.05 μB per formula unit
Raw total energy   -27.21 eV for the cell shown
ΔE_f (raw)   -0.17 eV per atom

---

VASP calculation (GGA-PBE) on a relaxed Ag6Br5Cl crystal.

```
Ag6Br5Cl
1.0
-6.0347 -2.8511 2.3911
0.7403 1.4193 -6.9066
4.2877 -5.6453 0.5314
Br Ag Cl
5 6 1
Cartesian
-3.7792 -1.4294 -0.7042
-1.5152 -0.0024 -3.8112
-0.5033 -3.5386 -1.9920
1.7567 -2.1140 -5.0937
-2.7634 -4.9631 1.1097
0.3374 -4.6348 -4.5245
-2.9428 -2.4745 -3.2809
0.8660 -1.0493 -2.4926
1.9361 -4.6026 -0.7031
-1.3441 -2.4423 0.5405
-1.8727 -6.0278 -1.4915
0.0000 0.0000 0.0000
```

Total magnetic moment   0.00 μB per formula unit
Raw total energy   -31.16 eV for the cell shown
ΔE_f (raw)   -0.32 eV per atom

---

VASP calculation (GGA-PBE) on a relaxed AgBrCl2 crystal.

```
AgBrCl2
1.0
-3.1586 1.6670 0.6905
-2.3559 -4.8642 0.9665
1.0618 -0.2274 5.4057
Ag Br Cl
1 1 2
Cartesian
-1.9028 -0.4394 1.9383
-2.5499 -2.9852 5.1244
-0.5815 -2.2906 2.8699
-0.0655 -0.2552 0.3161
```

Total magnetic moment   0.00 μB per formula unit
Raw total energy   -8.50 eV for the cell shown
ΔE_f (raw)   -0.07 eV per atom